(i)
{
  "formula": "Ti4PbN",
  "functional": "GGA-PBE",
  "state": "relaxed",
  "total_magnetization_mub_per_atom": 0.000,
  "spacegroup": "Cmcm, No. 63",
  "cell": [[3.9374, -3.8519, 0.0000], [3.9374, 3.8519, 0.0000], [0.0000, 0.0000, 7.6400]],
  "species": ["Ti", "Ti", "Ti", "Ti", "Ti", "Ti", "Ti", "Ti", "Pb", "Pb", "N", "N"],
  "frac_coords": [[0.0778, 0.2846, 0.7500], [0.2329, 0.7671, 0.5631], [0.2329, 0.7671, 0.9369], [0.2846, 0.0778, 0.2500], [0.7154, 0.9222, 0.7500], [0.7671, 0.2329, 0.0631], [0.7671, 0.2329, 0.4369], [0.9222, 0.7154, 0.2500], [0.4335, 0.5665, 0.2500], [0.5665, 0.4335, 0.7500], [0.0654, 0.9346, 0.7500], [0.9346, 0.0654, 0.2500]]
}

(ii)
{
  "formula": "Ti4PbN",
  "functional": "GGA-PBE",
  "state": "relaxed",
  "total_magnetization_mub_per_atom": 0.000,
  "spacegroup": "Cmcm, No. 63",
  "cell": [[2.2424, -7.2552, 0.0000], [2.2424, 7.2552, 0.0000], [0.0000, 0.0000, 5.9134]],
  "species": ["Ti", "Ti", "Ti", "Ti", "Ti", "Ti", "Ti", "Ti", "Pb", "Pb", "N", "N"],
  "frac_coords": [[0.0029, 0.9971, 0.7500], [0.1813, 0.8187, 0.2500], [0.4035, 0.5965, 0.5104], [0.4035, 0.5965, 0.9896], [0.5965, 0.4035, 0.0104], [0.5965, 0.4035, 0.4896], [0.8187, 0.1813, 0.7500], [0.9971, 0.0029, 0.2500], [0.2009, 0.7991, 0.7500], [0.7991, 0.2009, 0.2500], [0.4945, 0.5055, 0.2500], [0.5055, 0.4945, 0.7500]]
}

What are the relative energies? In meV/atom: (i) 588; (ii) 0.

(i)
{
  "formula": "VPb3N",
  "functional": "GGA-PBE",
  "state": "relaxed",
  "total_magnetization_mub_per_atom": 0.801,
  "spacegroup": "Pm-3m, No. 221",
  "cell": [[4.9609, 0.0000, 0.0000], [0.0000, 4.9609, 0.0000], [0.0000, 0.0000, 4.9609]],
  "species": ["V", "Pb", "Pb", "Pb", "N"],
  "frac_coords": [[0.0000, 0.0000, 0.0000], [0.0000, 0.5000, 0.5000], [0.5000, 0.0000, 0.5000], [0.5000, 0.5000, 0.0000], [0.5000, 0.5000, 0.5000]]
}

(ii)
{
  "formula": "VPb3N",
  "functional": "GGA-PBE",
  "state": "relaxed",
  "total_magnetization_mub_per_atom": 0.727,
  "spacegroup": "Pm-3m, No. 221",
  "cell": [[5.2896, 0.0000, 0.0000], [0.0000, 5.2896, 0.0000], [0.0000, 0.0000, 5.2896]],
  "species": ["V", "Pb", "Pb", "Pb", "N"],
  "frac_coords": [[0.0000, 0.0000, 0.0000], [0.0000, 0.0000, 0.5000], [0.0000, 0.5000, 0.0000], [0.5000, 0.0000, 0.0000], [0.5000, 0.5000, 0.5000]]
}

What are the relative energies? In meV/atom: (i) 0; (ii) 293.

(i)
{
  "formula": "Pb3WN",
  "functional": "GGA-PBE",
  "state": "relaxed",
  "total_magnetization_mub_per_atom": 0.000,
  "spacegroup": "Pm-3m, No. 221",
  "cell": [[4.8126, 0.0000, 0.0000], [0.0000, 4.8126, 0.0000], [0.0000, 0.0000, 4.8126]],
  "species": ["Pb", "Pb", "Pb", "W", "N"],
  "frac_coords": [[0.0000, 0.0000, 0.5000], [0.0000, 0.5000, 0.0000], [0.5000, 0.0000, 0.0000], [0.5000, 0.5000, 0.5000], [0.0000, 0.0000, 0.0000]]
}

(ii)
{
  "formula": "Pb3WN",
  "functional": "GGA-PBE",
  "state": "relaxed",
  "total_magnetization_mub_per_atom": 0.600,
  "spacegroup": "Pm-3m, No. 221",
  "cell": [[5.4148, 0.0000, 0.0000], [0.0000, 5.4148, 0.0000], [0.0000, 0.0000, 5.4148]],
  "species": ["Pb", "Pb", "Pb", "W", "N"],
  "frac_coords": [[0.0000, 0.0000, 0.5000], [0.0000, 0.5000, 0.0000], [0.5000, 0.0000, 0.0000], [0.0000, 0.0000, 0.0000], [0.5000, 0.5000, 0.5000]]
}

What are the relative energies? In meV/atom: (i) 0; (ii) 37.

(i)
{
  "formula": "PbW3N",
  "functional": "GGA-PBE",
  "state": "relaxed",
  "total_magnetization_mub_per_atom": 0.000,
  "spacegroup": "Pm-3m, No. 221",
  "cell": [[5.0079, 0.0000, 0.0000], [0.0000, 5.0079, 0.0000], [0.0000, 0.0000, 5.0079]],
  "species": ["Pb", "W", "W", "W", "N"],
  "frac_coords": [[0.0000, 0.0000, 0.0000], [0.0000, 0.0000, 0.5000], [0.0000, 0.5000, 0.0000], [0.5000, 0.0000, 0.0000], [0.5000, 0.5000, 0.5000]]
}

(ii)
{
  "formula": "PbW3N",
  "functional": "GGA-PBE",
  "state": "relaxed",
  "total_magnetization_mub_per_atom": 0.000,
  "spacegroup": "Pm-3m, No. 221",
  "cell": [[4.2404, 0.0000, 0.0000], [0.0000, 4.2404, 0.0000], [0.0000, 0.0000, 4.2404]],
  "species": ["Pb", "W", "W", "W", "N"],
  "frac_coords": [[0.0000, 0.0000, 0.0000], [0.0000, 0.5000, 0.5000], [0.5000, 0.0000, 0.5000], [0.5000, 0.5000, 0.0000], [0.5000, 0.5000, 0.5000]]
}

What are the relative energies? In meV/atom: (i) 3951; (ii) 0.

(i)
{
  "formula": "YPb3N",
  "functional": "GGA-PBE",
  "state": "relaxed",
  "total_magnetization_mub_per_atom": 0.072,
  "spacegroup": "Pm-3m, No. 221",
  "cell": [[5.0317, 0.0000, 0.0000], [0.0000, 5.0317, 0.0000], [0.0000, 0.0000, 5.0317]],
  "species": ["Y", "Pb", "Pb", "Pb", "N"],
  "frac_coords": [[0.0000, 0.0000, 0.0000], [0.0000, 0.5000, 0.5000], [0.5000, 0.0000, 0.5000], [0.5000, 0.5000, 0.0000], [0.5000, 0.5000, 0.5000]]
}

(ii)
{
  "formula": "YPb3N",
  "functional": "GGA-PBE",
  "state": "relaxed",
  "total_magnetization_mub_per_atom": 0.000,
  "spacegroup": "Pm-3m, No. 221",
  "cell": [[5.9086, 0.0000, 0.0000], [0.0000, 5.9086, 0.0000], [0.0000, 0.0000, 5.9086]],
  "species": ["Y", "Pb", "Pb", "Pb", "N"],
  "frac_coords": [[0.0000, 0.0000, 0.0000], [0.0000, 0.0000, 0.5000], [0.0000, 0.5000, 0.0000], [0.5000, 0.0000, 0.0000], [0.5000, 0.5000, 0.5000]]
}

What are the relative energies? In meV/atom: (i) 0; (ii) 1341.

(i)
{
  "formula": "ZnPb2N2",
  "functional": "GGA-PBE",
  "state": "relaxed",
  "total_magnetization_mub_per_atom": 0.000,
  "spacegroup": "P-3m1, No. 164",
  "cell": [[3.6732, 0.0000, 0.0000], [-1.8366, 3.1811, 0.0000], [0.0000, 0.0000, 9.2711]],
  "species": ["Zn", "Pb", "Pb", "N", "N"],
  "frac_coords": [[0.0000, 0.0000, 0.0000], [0.3333, 0.6667, 0.3131], [0.6667, 0.3333, 0.6869], [0.0000, 0.0000, 0.1984], [0.0000, 0.0000, 0.8016]]
}

(ii)
{
  "formula": "ZnPb2N2",
  "functional": "GGA-PBE",
  "state": "relaxed",
  "total_magnetization_mub_per_atom": 0.000,
  "spacegroup": "Pmmn, No. 59",
  "cell": [[3.6534, 0.0000, 0.0000], [0.0000, 11.5330, 0.0000], [0.0000, 0.0000, 6.7553]],
  "species": ["Zn", "Zn", "Pb", "Pb", "Pb", "Pb", "N", "N", "N", "N"],
  "frac_coords": [[0.2500, 0.2500, 0.1102], [0.7500, 0.7500, 0.8898], [0.2500, 0.0112, 0.7741], [0.2500, 0.4888, 0.7741], [0.7500, 0.5112, 0.2259], [0.7500, 0.9888, 0.2259], [0.2500, 0.0913, 0.0977], [0.2500, 0.4087, 0.0977], [0.7500, 0.5913, 0.9023], [0.7500, 0.9087, 0.9023]]
}

What are the relative energies? In meV/atom: (i) 0; (ii) 18.

(i)
{
  "formula": "ZnPb2N",
  "functional": "GGA-PBE",
  "state": "relaxed",
  "total_magnetization_mub_per_atom": 0.000,
  "spacegroup": "Fm-3m, No. 225",
  "cell": [[6.9314, 0.0000, 0.0000], [0.0000, 6.9314, 0.0000], [0.0000, 0.0000, 6.9314]],
  "species": ["Zn", "Zn", "Zn", "Zn", "Pb", "Pb", "Pb", "Pb", "Pb", "Pb", "Pb", "Pb", "N", "N", "N", "N"],
  "frac_coords": [[0.0000, 0.0000, 0.0000], [0.0000, 0.5000, 0.5000], [0.5000, 0.0000, 0.5000], [0.5000, 0.5000, 0.0000], [0.2500, 0.2500, 0.2500], [0.2500, 0.2500, 0.7500], [0.2500, 0.7500, 0.2500], [0.2500, 0.7500, 0.7500], [0.7500, 0.2500, 0.2500], [0.7500, 0.2500, 0.7500], [0.7500, 0.7500, 0.2500], [0.7500, 0.7500, 0.7500], [0.0000, 0.0000, 0.5000], [0.0000, 0.5000, 0.0000], [0.5000, 0.0000, 0.0000], [0.5000, 0.5000, 0.5000]]
}

(ii)
{
  "formula": "ZnPb2N",
  "functional": "GGA-PBE",
  "state": "relaxed",
  "total_magnetization_mub_per_atom": 0.000,
  "spacegroup": "I-42d, No. 122",
  "cell": [[6.2762, 0.0000, 0.0000], [0.0000, 6.2762, 0.0000], [0.0000, 0.0000, 10.3398]],
  "species": ["Zn", "Zn", "Zn", "Zn", "Pb", "Pb", "Pb", "Pb", "Pb", "Pb", "Pb", "Pb", "N", "N", "N", "N"],
  "frac_coords": [[0.0000, 0.0000, 0.0000], [0.0000, 0.5000, 0.2500], [0.5000, 0.0000, 0.7500], [0.5000, 0.5000, 0.5000], [0.1910, 0.2500, 0.6250], [0.2500, 0.6910, 0.8750], [0.2500, 0.8090, 0.3750], [0.3090, 0.2500, 0.1250], [0.6910, 0.7500, 0.1250], [0.7500, 0.1910, 0.3750], [0.7500, 0.3090, 0.8750], [0.8090, 0.7500, 0.6250], [0.0000, 0.0000, 0.5000], [0.0000, 0.5000, 0.7500], [0.5000, 0.0000, 0.2500], [0.5000, 0.5000, 0.0000]]
}

What are the relative energies? In meV/atom: (i) 392; (ii) 0.